Record 1
Er2ZrNb: optimized geometry, GGA-PBE.

Results
density of states at the Fermi level: 5.27 states/eV per cell
ΔH_f (0 K): 46.5 kJ/mol of atoms
calculated total energy: -6.454 eV/atom

Lattice parameters (Å, degrees): 11.316 11.316 11.316 16.32 16.32 16.32
Positions (direct):
Er  0.087  0.087  0.087
Er  0.913  0.913  0.913
Zr  0.500  0.500  0.500
Nb  0.000  0.000  0.000

***

Record 2
ErZr2Nb: optimized geometry, GGA-PBE.

Results
density of states at the Fermi level: 6.61 states/eV per cell
relative energy among the computed polymorphs: 108 meV per atom
ΔH_f (0 K): 19.0 kJ/mol of atoms
calculated total energy: -7.735 eV/atom

Lattice parameters (Å, degrees): 5.047 5.047 5.047 60.00 60.00 60.00
Positions (direct):
Er  0.000  0.000  0.000
Zr  0.250  0.250  0.250
Zr  0.750  0.750  0.750
Nb  0.500  0.500  0.500

***

Record 3
ErZr2Nb: optimized geometry, GGA-PBE.

Results
density of states at the Fermi level: 7.17 states/eV per cell
relative energy among the computed polymorphs: 131 meV per atom
ΔH_f (0 K): 21.2 kJ/mol of atoms
calculated total energy: -7.713 eV/atom

Lattice parameters (Å, degrees): 10.551 10.551 10.551 17.59 17.59 17.59
Positions (direct):
Er  0.000  0.000  0.000
Zr  0.243  0.243  0.243
Zr  0.757  0.757  0.757
Nb  0.500  0.500  0.500

***

Record 4
Nd7Er3: optimized geometry, GGA-PBE.

Results
density of states at the Fermi level: 14.29 states/eV per cell
relative energy among the computed polymorphs: 0 meV per atom
ΔH_f (0 K): 1.5 kJ/mol of atoms
calculated total energy: -4.691 eV/atom

Lattice parameters (Å, degrees): 9.603 9.603 7.240 101.22 101.22 31.05
Positions (direct):
Nd  0.000  0.000  0.000
Nd  0.200  0.200  0.601
Nd  0.399  0.399  0.198
Nd  0.400  0.400  0.701
Nd  0.600  0.600  0.299
Nd  0.601  0.601  0.802
Nd  0.800  0.800  0.399
Er  0.000  0.000  0.500
Er  0.201  0.201  0.100
Er  0.799  0.799  0.900

***

Record 5
Nd2Er3: optimized geometry, GGA-PBE.

Results
density of states at the Fermi level: 15.21 states/eV per cell
relative energy among the computed polymorphs: 120 meV per atom
ΔH_f (0 K): 13.7 kJ/mol of atoms
calculated total energy: -4.503 eV/atom

Lattice parameters (Å, degrees): 9.673 6.265 9.375 73.39 38.37 68.24
Positions (direct):
Nd  0.233  0.767  0.375
Nd  0.625  0.875  0.483
Nd  0.767  0.233  0.625
Nd  0.875  0.625  0.017
Er  0.076  0.131  0.735
Er  0.131  0.076  0.058
Er  0.192  0.515  0.119
Er  0.435  0.435  0.565
Er  0.515  0.192  0.174
Er  0.685  0.685  0.815

***

Record 6
Nd4Er3: optimized geometry, GGA-PBE.

Results
density of states at the Fermi level: 11.61 states/eV per cell
relative energy among the computed polymorphs: 114 meV per atom
ΔH_f (0 K): 12.7 kJ/mol of atoms
calculated total energy: -4.548 eV/atom

Lattice parameters (Å, degrees): 8.679 8.679 8.827 116.14 116.14 23.37
Positions (direct):
Nd  0.080  0.080  0.206
Nd  0.361  0.361  0.093
Nd  0.639  0.639  0.907
Nd  0.920  0.920  0.794
Er  0.000  0.000  0.500
Er  0.220  0.220  0.643
Er  0.780  0.780  0.357

***

Record 7
NdEr: optimized geometry, GGA-PBE.

Results
density of states at the Fermi level: 6.80 states/eV per cell
relative energy among the computed polymorphs: 11 meV per atom
ΔH_f (0 K): 2.1 kJ/mol of atoms
calculated total energy: -4.644 eV/atom

Lattice parameters (Å, degrees): 5.752 3.674 6.304 90.00 90.00 90.00
Positions (direct):
Nd  0.250  0.000  0.170
Nd  0.750  0.000  0.830
Er  0.250  0.500  0.665
Er  0.750  0.500  0.335

***

Record 8
Nd7Er2: optimized geometry, GGA-PBE.

Results
density of states at the Fermi level: 12.80 states/eV per cell
relative energy among the computed polymorphs: 0 meV per atom
ΔH_f (0 K): 1.7 kJ/mol of atoms
calculated total energy: -4.705 eV/atom

Lattice parameters (Å, degrees): 6.310 6.310 8.917 90.00 90.00 120.00
Positions (direct):
Nd  0.000  0.000  0.000
Nd  0.000  0.334  0.670
Nd  0.000  0.666  0.330
Nd  0.334  0.000  0.670
Nd  0.334  0.334  0.330
Nd  0.666  0.000  0.330
Nd  0.666  0.666  0.670
Er  0.333  0.667  0.000
Er  0.667  0.333  0.000

***

Record 9
Nd3Er2: optimized geometry, GGA-PBE.

Results
density of states at the Fermi level: 15.93 states/eV per cell
ΔH_f (0 K): 14.7 kJ/mol of atoms
calculated total energy: -4.533 eV/atom

Lattice parameters (Å, degrees): 9.397 9.397 9.397 139.68 57.35 141.00
Positions (direct):
Nd  0.099  0.602  0.701
Nd  0.250  0.250  0.000
Nd  0.401  0.102  0.503
Nd  0.599  0.898  0.497
Nd  0.750  0.750  0.000
Nd  0.901  0.398  0.299
Er  0.194  0.131  0.325
Er  0.306  0.631  0.937
Er  0.694  0.369  0.063
Er  0.806  0.869  0.675

***

Record 10
Nd3Er7: optimized geometry, GGA-PBE.

Results
density of states at the Fermi level: 31.33 states/eV per cell
relative energy among the computed polymorphs: 158 meV per atom
ΔH_f (0 K): 17.3 kJ/mol of atoms
calculated total energy: -4.445 eV/atom

Lattice parameters (Å, degrees): 10.731 10.731 6.475 90.00 90.00 120.00
Positions (direct):
Nd  0.203  0.405  0.000
Nd  0.203  0.797  0.000
Nd  0.405  0.203  0.500
Nd  0.595  0.797  0.000
Nd  0.797  0.203  0.500
Nd  0.797  0.595  0.500
Er  0.057  0.529  0.341
Er  0.122  0.243  0.519
Er  0.122  0.878  0.519
Er  0.243  0.122  0.019
Er  0.333  0.667  0.653
Er  0.471  0.529  0.341
Er  0.471  0.943  0.341
Er  0.529  0.057  0.841
Er  0.529  0.471  0.841
Er  0.667  0.333  0.153
Er  0.757  0.878  0.519
Er  0.878  0.122  0.019
Er  0.878  0.757  0.019
Er  0.943  0.471  0.841

***

Record 11
Nd2Er: optimized geometry, GGA-PBE.

Results
density of states at the Fermi level: 9.41 states/eV per cell
relative energy among the computed polymorphs: 113 meV per atom
ΔH_f (0 K): 13.2 kJ/mol of atoms
calculated total energy: -4.563 eV/atom

Lattice parameters (Å, degrees): 16.886 16.886 16.886 168.05 168.05 16.92
Positions (direct):
Nd  0.297  0.547  0.750
Nd  0.453  0.703  0.750
Nd  0.547  0.297  0.250
Nd  0.703  0.453  0.250
Er  0.125  0.875  0.250
Er  0.875  0.125  0.750

***

Record 12
Nd6Er7: optimized geometry, GGA-PBE.

Results
density of states at the Fermi level: 29.53 states/eV per cell
ΔH_f (0 K): 25.0 kJ/mol of atoms
calculated total energy: -4.399 eV/atom

Lattice parameters (Å, degrees): 12.233 12.233 12.233 31.66 31.66 31.66
Positions (direct):
Nd  0.048  0.048  0.048
Nd  0.152  0.152  0.152
Nd  0.333  0.333  0.333
Nd  0.667  0.667  0.667
Nd  0.848  0.848  0.848
Nd  0.952  0.952  0.952
Er  0.086  0.588  0.588
Er  0.412  0.412  0.914
Er  0.412  0.914  0.412
Er  0.500  0.500  0.500
Er  0.588  0.086  0.588
Er  0.588  0.588  0.086
Er  0.914  0.412  0.412

***

Record 13
Nd7Er3: optimized geometry, GGA-PBE.

Results
density of states at the Fermi level: 17.39 states/eV per cell
relative energy among the computed polymorphs: 141 meV per atom
ΔH_f (0 K): 15.1 kJ/mol of atoms
calculated total energy: -4.550 eV/atom

Lattice parameters (Å, degrees): 11.732 11.732 5.769 90.00 90.00 120.00
Positions (direct):
Nd  0.049  0.525  0.000
Nd  0.116  0.231  0.994
Nd  0.116  0.884  0.994
Nd  0.231  0.116  0.494
Nd  0.333  0.667  0.991
Nd  0.475  0.525  0.000
Nd  0.475  0.951  0.000
Nd  0.525  0.049  0.500
Nd  0.525  0.475  0.500
Nd  0.667  0.333  0.491
Nd  0.769  0.884  0.994
Nd  0.884  0.116  0.494
Nd  0.884  0.769  0.494
Nd  0.951  0.475  0.500
Er  0.224  0.448  0.495
Er  0.224  0.776  0.495
Er  0.448  0.224  0.995
Er  0.552  0.776  0.495
Er  0.776  0.224  0.995
Er  0.776  0.552  0.995

***

Record 14
NdEr: optimized geometry, GGA-PBE.

Results
density of states at the Fermi level: 7.31 states/eV per cell
relative energy among the computed polymorphs: 21 meV per atom
ΔH_f (0 K): 3.0 kJ/mol of atoms
calculated total energy: -4.635 eV/atom

Lattice parameters (Å, degrees): 3.643 5.781 6.287 90.00 90.00 90.00
Positions (direct):
Nd  0.250  0.250  0.081
Nd  0.750  0.750  0.919
Er  0.250  0.750  0.418
Er  0.750  0.250  0.582

***

Record 15
NdEr3: optimized geometry, GGA-PBE.

Results
density of states at the Fermi level: 5.91 states/eV per cell
relative energy among the computed polymorphs: 15 meV per atom
ΔH_f (0 K): 2.4 kJ/mol of atoms
calculated total energy: -4.589 eV/atom

Lattice parameters (Å, degrees): 6.130 6.130 6.130 131.51 131.51 71.01
Positions (direct):
Nd  0.000  0.000  0.000
Er  0.250  0.750  0.500
Er  0.500  0.500  0.000
Er  0.750  0.250  0.500

***

Record 16
Nd2Er: optimized geometry, GGA-PBE.

Results
density of states at the Fermi level: 10.56 states/eV per cell
relative energy among the computed polymorphs: 243 meV per atom
ΔH_f (0 K): 25.8 kJ/mol of atoms
calculated total energy: -4.432 eV/atom

Lattice parameters (Å, degrees): 6.669 6.669 6.669 60.00 60.00 60.00
Positions (direct):
Nd  0.000  0.000  0.000
Nd  0.000  0.000  0.500
Nd  0.000  0.500  0.000
Nd  0.500  0.000  0.000
Er  0.375  0.375  0.375
Er  0.625  0.625  0.625

***

Record 17
NdEr: optimized geometry, GGA-PBE.

Results
density of states at the Fermi level: 3.73 states/eV per cell
relative energy among the computed polymorphs: 92 meV per atom
ΔH_f (0 K): 9.9 kJ/mol of atoms
calculated total energy: -4.563 eV/atom

Lattice parameters (Å, degrees): 4.050 4.050 4.050 90.00 90.00 90.00
Positions (direct):
Nd  0.000  0.000  0.000
Er  0.500  0.500  0.500

***

Record 18
Nd3Er7: optimized geometry, GGA-PBE.

Results
density of states at the Fermi level: 13.59 states/eV per cell
relative energy among the computed polymorphs: 0 meV per atom
ΔH_f (0 K): 2.1 kJ/mol of atoms
calculated total energy: -4.603 eV/atom

Lattice parameters (Å, degrees): 9.411 9.411 7.124 100.89 100.89 30.98
Positions (direct):
Nd  0.000  0.000  0.000
Nd  0.199  0.199  0.601
Nd  0.801  0.801  0.399
Er  0.000  0.000  0.500
Er  0.200  0.200  0.100
Er  0.400  0.400  0.199
Er  0.401  0.401  0.700
Er  0.599  0.599  0.300
Er  0.600  0.600  0.801
Er  0.800  0.800  0.900

***

Record 19
Nd3Er8: optimized geometry, GGA-PBE.

Results
density of states at the Fermi level: 22.71 states/eV per cell
relative energy among the computed polymorphs: 0 meV per atom
ΔH_f (0 K): 11.9 kJ/mol of atoms
calculated total energy: -4.495 eV/atom

Lattice parameters (Å, degrees): 13.117 13.117 13.117 24.98 24.98 24.98
Positions (direct):
Nd  0.000  0.000  0.000
Nd  0.272  0.272  0.272
Nd  0.728  0.728  0.728
Er  0.093  0.093  0.093
Er  0.181  0.181  0.181
Er  0.365  0.365  0.365
Er  0.455  0.455  0.455
Er  0.545  0.545  0.545
Er  0.635  0.635  0.635
Er  0.819  0.819  0.819
Er  0.907  0.907  0.907

***

Record 20
Nd2Er: optimized geometry, GGA-PBE.

Results
density of states at the Fermi level: 4.20 states/eV per cell
relative energy among the computed polymorphs: 0 meV per atom
ΔH_f (0 K): 2.3 kJ/mol of atoms
calculated total energy: -4.676 eV/atom

Lattice parameters (Å, degrees): 3.633 3.633 9.086 101.49 101.49 60.03
Positions (direct):
Nd  0.225  0.225  0.173
Nd  0.775  0.775  0.827
Er  0.000  0.000  0.500